The following is a DFT calculation (PBE-GGA) of a relaxed VIn2Cl4 crystal.

## Properties
Distance to the lowest polymorph of the same formula in meV/atom: 0
Magnetic moment in μB per formula unit: 3.0

Structure (CIF):
```
data_VIn2Cl4
_chemical_formula_sum 'V4 In8 Cl16'
_cell_length_a 6.776
_cell_length_b 6.870
_cell_length_c 17.013
_cell_angle_alpha 90.00
_cell_angle_beta 90.00
_cell_angle_gamma 90.00
_space_group_name_H-M_alt 'P 1'
_space_group_IT_number 1
loop_
_space_group_symop_operation_xyz
'x,y,z'
loop_
_atom_site_label
_atom_site_fract_x
_atom_site_fract_y
_atom_site_fract_z
V1 0.000 0.000 0.000
V2 0.000 0.500 0.500
V3 0.500 0.000 0.500
V4 0.500 0.500 0.000
In1 0.008 0.048 0.351
In2 0.008 0.452 0.851
In3 0.492 0.548 0.351
In4 0.492 0.952 0.851
In5 0.508 0.048 0.149
In6 0.508 0.452 0.649
In7 0.992 0.548 0.149
In8 0.992 0.952 0.649
Cl1 0.036 0.001 0.855
Cl2 0.036 0.499 0.355
Cl3 0.185 0.187 0.510
Cl4 0.185 0.313 0.010
Cl5 0.315 0.687 0.510
Cl6 0.315 0.813 0.010
Cl7 0.464 0.501 0.855
Cl8 0.464 0.999 0.355
Cl9 0.536 0.001 0.645
Cl10 0.536 0.499 0.145
Cl11 0.685 0.187 0.990
Cl12 0.685 0.313 0.490
Cl13 0.815 0.687 0.990
Cl14 0.815 0.813 0.490
Cl15 0.964 0.501 0.645
Cl16 0.964 0.999 0.145
```


The following is a DFT calculation (PBE-GGA) of a relaxed Ca2AgMo crystal.

## Properties
Distance to the lowest polymorph of the same formula in meV/atom: 47
Energy of formation from the pure elements in eV per atom: 0.467
Magnetic moment in μB per formula unit: 0.0

Structure (CIF):
```
data_Ca2AgMo
_chemical_formula_sum 'Ca2 Ag1 Mo1'
_cell_length_a 6.021
_cell_length_b 6.021
_cell_length_c 5.580
_cell_angle_alpha 107.80
_cell_angle_beta 107.80
_cell_angle_gamma 29.22
_space_group_name_H-M_alt 'P 1'
_space_group_IT_number 1
loop_
_space_group_symop_operation_xyz
'x,y,z'
loop_
_atom_site_label
_atom_site_fract_x
_atom_site_fract_y
_atom_site_fract_z
Ca1 0.000 0.000 0.000
Ca2 0.203 0.203 0.610
Ag1 0.449 0.449 0.475
Mo1 0.757 0.757 0.141
```


The following is a DFT calculation (PBE-GGA) of a relaxed CaDy2TmHg4 crystal.

## Properties
Energy of formation from the pure elements in eV per atom: -0.512
Magnetic moment in μB per formula unit: 0.0

Structure (CIF):
```
data_CaDy2TmHg4
_chemical_formula_sum 'Ca1 Dy2 Tm1 Hg4'
_cell_length_a 9.103
_cell_length_b 9.103
_cell_length_c 9.103
_cell_angle_alpha 33.53
_cell_angle_beta 33.53
_cell_angle_gamma 33.53
_space_group_name_H-M_alt 'P 1'
_space_group_IT_number 1
loop_
_space_group_symop_operation_xyz
'x,y,z'
loop_
_atom_site_label
_atom_site_fract_x
_atom_site_fract_y
_atom_site_fract_z
Ca1 0.000 0.000 0.000
Dy1 0.251 0.251 0.251
Dy2 0.749 0.749 0.749
Tm1 0.500 0.500 0.500
Hg1 0.127 0.127 0.127
Hg2 0.377 0.377 0.377
Hg3 0.623 0.623 0.623
Hg4 0.873 0.873 0.873
```


The following is a DFT calculation (PBE-GGA) of a relaxed PmPrInSn crystal.

## Properties
Distance to the lowest polymorph of the same formula in meV/atom: 0
Energy of formation from the pure elements in eV per atom: -0.643
Magnetic moment in μB per formula unit: 0.0

Structure (CIF):
```
data_PmPrInSn
_chemical_formula_sum 'Pm1 Pr1 In1 Sn1'
_cell_length_a 4.427
_cell_length_b 6.356
_cell_length_c 6.356
_cell_angle_alpha 43.46
_cell_angle_beta 90.00
_cell_angle_gamma 90.00
_space_group_name_H-M_alt 'P 1'
_space_group_IT_number 1
loop_
_space_group_symop_operation_xyz
'x,y,z'
loop_
_atom_site_label
_atom_site_fract_x
_atom_site_fract_y
_atom_site_fract_z
Pm1 0.000 0.000 0.000
Pr1 0.500 0.724 0.724
In1 0.500 0.448 0.448
Sn1 0.000 0.280 0.280
```


The following is a DFT calculation (PBE-GGA) of a relaxed CaErAlTl crystal.

## Properties
Energy of formation from the pure elements in eV per atom: -0.284
Magnetic moment in μB per formula unit: 0.0

Structure (CIF):
```
data_CaErAlTl
_chemical_formula_sum 'Ca1 Er1 Al1 Tl1'
_cell_length_a 5.290
_cell_length_b 5.290
_cell_length_c 5.290
_cell_angle_alpha 60.00
_cell_angle_beta 60.00
_cell_angle_gamma 60.00
_space_group_name_H-M_alt 'P 1'
_space_group_IT_number 1
loop_
_space_group_symop_operation_xyz
'x,y,z'
loop_
_atom_site_label
_atom_site_fract_x
_atom_site_fract_y
_atom_site_fract_z
Ca1 0.000 0.000 0.000
Er1 0.500 0.500 0.500
Al1 0.750 0.750 0.750
Tl1 0.250 0.250 0.250
```


The following is a DFT calculation (PBE-GGA) of a relaxed RbAl2AsO6 crystal.

## Properties
E in eV for the cell shown: -130.28
Magnetic moment in μB per formula unit: 0.0

Structure (CIF):
```
data_RbAl2AsO6
_chemical_formula_sum 'Rb2 Al4 As2 O12'
_cell_length_a 7.586
_cell_length_b 7.586
_cell_length_c 5.966
_cell_angle_alpha 104.39
_cell_angle_beta 104.39
_cell_angle_gamma 99.40
_space_group_name_H-M_alt 'P 1'
_space_group_IT_number 1
loop_
_space_group_symop_operation_xyz
'x,y,z'
loop_
_atom_site_label
_atom_site_fract_x
_atom_site_fract_y
_atom_site_fract_z
Rb1 0.143 0.857 0.750
Rb2 0.857 0.143 0.250
Al1 0.190 0.333 0.871
Al2 0.333 0.190 0.371
Al3 0.667 0.810 0.629
Al4 0.810 0.667 0.129
As1 0.281 0.719 0.250
As2 0.719 0.281 0.750
O1 0.055 0.662 0.255
O2 0.215 0.238 0.111
O3 0.238 0.215 0.611
O4 0.304 0.581 0.988
O5 0.338 0.945 0.245
O6 0.419 0.696 0.512
O7 0.581 0.304 0.488
O8 0.662 0.055 0.755
O9 0.696 0.419 0.012
O10 0.762 0.785 0.389
O11 0.785 0.762 0.889
O12 0.945 0.338 0.745
```


The following is a DFT calculation (PBE-GGA) of a relaxed Th3GaSb2 crystal.

## Properties
E in eV for the cell shown: -75.77
Magnetic moment in μB per formula unit: 0.0

Structure (CIF):
```
data_Th3GaSb2
_chemical_formula_sum 'Th6 Ga2 Sb4'
_cell_length_a 7.716
_cell_length_b 7.716
_cell_length_c 8.903
_cell_angle_alpha 106.76
_cell_angle_beta 106.76
_cell_angle_gamma 48.19
_space_group_name_H-M_alt 'P 1'
_space_group_IT_number 1
loop_
_space_group_symop_operation_xyz
'x,y,z'
loop_
_atom_site_label
_atom_site_fract_x
_atom_site_fract_y
_atom_site_fract_z
Th1 0.000 0.000 0.250
Th2 0.000 0.000 0.750
Th3 0.345 0.345 0.422
Th4 0.345 0.345 0.922
Th5 0.655 0.655 0.078
Th6 0.655 0.655 0.578
Ga1 0.500 0.500 0.250
Ga2 0.500 0.500 0.750
Sb1 0.171 0.172 0.586
Sb2 0.172 0.171 0.086
Sb3 0.828 0.829 0.914
Sb4 0.829 0.828 0.414
```


The following is a DFT calculation (PBE-GGA) of a relaxed Dy2Y5Sc2 crystal.

## Properties
Distance to the lowest polymorph of the same formula in meV/atom: 0
Energy of formation from the pure elements in eV per atom: 0.022
Magnetic moment in μB per formula unit: 0.0

Structure (CIF):
```
data_Dy2Y5Sc2
_chemical_formula_sum 'Dy2 Y5 Sc2'
_cell_length_a 9.315
_cell_length_b 9.315
_cell_length_c 9.363
_cell_angle_alpha 115.28
_cell_angle_beta 115.28
_cell_angle_gamma 21.92
_space_group_name_H-M_alt 'P 1'
_space_group_IT_number 1
loop_
_space_group_symop_operation_xyz
'x,y,z'
loop_
_atom_site_label
_atom_site_fract_x
_atom_site_fract_y
_atom_site_fract_z
Dy1 0.142 0.142 0.157
Dy2 0.858 0.858 0.843
Y1 0.000 0.000 0.500
Y2 0.184 0.184 0.833
Y3 0.335 0.335 0.506
Y4 0.665 0.665 0.494
Y5 0.816 0.816 0.167
Sc1 0.482 0.482 0.164
Sc2 0.518 0.518 0.836
```


The following is a DFT calculation (PBE-GGA) of a relaxed PbSe3 crystal.

## Properties
E in eV for the cell shown: -59.81
Magnetic moment in μB per formula unit: 0.0

Structure (CIF):
```
data_PbSe3
_chemical_formula_sum 'Pb4 Se12'
_cell_length_a 9.140
_cell_length_b 7.529
_cell_length_c 7.042
_cell_angle_alpha 90.00
_cell_angle_beta 90.00
_cell_angle_gamma 90.00
_space_group_name_H-M_alt 'P 1'
_space_group_IT_number 1
loop_
_space_group_symop_operation_xyz
'x,y,z'
loop_
_atom_site_label
_atom_site_fract_x
_atom_site_fract_y
_atom_site_fract_z
Pb1 0.132 0.250 0.105
Pb2 0.368 0.750 0.605
Pb3 0.632 0.250 0.395
Pb4 0.868 0.750 0.895
Se1 0.035 0.250 0.562
Se2 0.121 0.501 0.749
Se3 0.121 0.999 0.749
Se4 0.379 0.001 0.249
Se5 0.379 0.499 0.249
Se6 0.465 0.750 0.062
Se7 0.535 0.250 0.938
Se8 0.621 0.501 0.751
Se9 0.621 0.999 0.751
Se10 0.879 0.001 0.251
Se11 0.879 0.499 0.251
Se12 0.965 0.750 0.438
```


The following is a DFT calculation (PBE-GGA) of a relaxed CsSrAgF6 crystal.

## Properties
E in eV for the cell shown: -76.87
Magnetic moment in μB per formula unit: 0.0

Structure (CIF):
```
data_CsSrAgF6
_chemical_formula_sum 'Cs2 Sr2 Ag2 F12'
_cell_length_a 7.886
_cell_length_b 7.886
_cell_length_c 7.886
_cell_angle_alpha 120.86
_cell_angle_beta 113.46
_cell_angle_gamma 95.11
_space_group_name_H-M_alt 'P 1'
_space_group_IT_number 1
loop_
_space_group_symop_operation_xyz
'x,y,z'
loop_
_atom_site_label
_atom_site_fract_x
_atom_site_fract_y
_atom_site_fract_z
Cs1 0.400 0.150 0.250
Cs2 0.600 0.850 0.750
Sr1 0.000 0.000 0.500
Sr2 0.000 0.500 0.000
Ag1 0.000 0.500 0.500
Ag2 0.500 0.500 0.000
F1 0.132 0.882 0.250
F2 0.141 0.391 0.750
F3 0.159 0.450 0.348
F4 0.159 0.811 0.709
F5 0.398 0.189 0.848
F6 0.398 0.550 0.209
F7 0.602 0.450 0.791
F8 0.602 0.811 0.152
F9 0.841 0.189 0.291
F10 0.841 0.550 0.652
F11 0.859 0.609 0.250
F12 0.868 0.118 0.750
```


The following is a DFT calculation (PBE-GGA) of a relaxed MnV6Pd8 crystal.

## Properties
Energy of formation from the pure elements in eV per atom: 0.067
Magnetic moment in μB per formula unit: 11.4

Structure (CIF):
```
data_MnV6Pd8
_chemical_formula_sum 'Mn1 V6 Pd8'
_cell_length_a 6.282
_cell_length_b 6.282
_cell_length_c 6.282
_cell_angle_alpha 77.53
_cell_angle_beta 77.53
_cell_angle_gamma 77.53
_space_group_name_H-M_alt 'P 1'
_space_group_IT_number 1
loop_
_space_group_symop_operation_xyz
'x,y,z'
loop_
_atom_site_label
_atom_site_fract_x
_atom_site_fract_y
_atom_site_fract_z
Mn1 0.000 0.000 0.000
V1 0.208 0.591 0.434
V2 0.409 0.566 0.792
V3 0.434 0.208 0.591
V4 0.566 0.792 0.409
V5 0.591 0.434 0.208
V6 0.792 0.409 0.566
Pd1 0.059 0.382 0.834
Pd2 0.166 0.941 0.618
Pd3 0.235 0.235 0.235
Pd4 0.382 0.834 0.059
Pd5 0.618 0.166 0.941
Pd6 0.765 0.765 0.765
Pd7 0.834 0.059 0.382
Pd8 0.941 0.618 0.166
```


The following is a DFT calculation (PBE-GGA) of a relaxed Mn2NiIrI crystal.

## Properties
E in eV for the cell shown: -26.45
Magnetic moment in μB per formula unit: 8.0

Structure (CIF):
```
data_Mn2NiIrI
_chemical_formula_sum 'Mn2 Ni1 Ir1 I1'
_cell_length_a 4.780
_cell_length_b 4.780
_cell_length_c 4.458
_cell_angle_alpha 90.00
_cell_angle_beta 90.00
_cell_angle_gamma 90.00
_space_group_name_H-M_alt 'P 1'
_space_group_IT_number 1
loop_
_space_group_symop_operation_xyz
'x,y,z'
loop_
_atom_site_label
_atom_site_fract_x
_atom_site_fract_y
_atom_site_fract_z
Mn1 0.000 0.500 0.000
Mn2 0.500 0.000 0.000
Ni1 0.000 0.000 0.500
Ir1 0.500 0.500 0.500
I1 0.000 0.000 0.000
```


Repeat the fifth record exactly.
The following is a DFT calculation (PBE-GGA) of a relaxed CaErAlTl crystal.

## Properties
Energy of formation from the pure elements in eV per atom: -0.284
Magnetic moment in μB per formula unit: 0.0

Structure (CIF):
```
data_CaErAlTl
_chemical_formula_sum 'Ca1 Er1 Al1 Tl1'
_cell_length_a 5.290
_cell_length_b 5.290
_cell_length_c 5.290
_cell_angle_alpha 60.00
_cell_angle_beta 60.00
_cell_angle_gamma 60.00
_space_group_name_H-M_alt 'P 1'
_space_group_IT_number 1
loop_
_space_group_symop_operation_xyz
'x,y,z'
loop_
_atom_site_label
_atom_site_fract_x
_atom_site_fract_y
_atom_site_fract_z
Ca1 0.000 0.000 0.000
Er1 0.500 0.500 0.500
Al1 0.750 0.750 0.750
Tl1 0.250 0.250 0.250
```